DFT (PBE) results for crystalline Zr3MnSb at its relaxed geometry.

```
Zr3MnSb
1.0
-2.205 -4.567 -1.292
4.719 -2.260 -0.063
-0.503 -1.191 5.071
Zr Mn Sb
3 1 1
Cartesian
-0.251 -0.596 2.535 Zr
2.360 -1.130 -0.032 Zr
-1.102 -2.283 -0.646 Zr
1.006 -4.009 1.858 Mn
0.000 0.000 0.000 Sb
```

## Properties
size of the total moment	0.11	μB per cell
DOS(E_F)	1.976	states/eV/atom
final energy	-6.43	eV per atom
E_form (uncorrected)	1.360	eV/atom
relative energy among the computed polymorphs	1.3115	eV per atom